No. 1
DFT (SCAN) results for a crystal of Tl2SbAu relaxed with PBEsol.

Results
crystal system: cubic

```
data_Tl2SbAu
_space_group_name_H-M_alt 'F m -3 m'
_space_group_IT_number 225
_space_group_name_Hall '-F 4 2 3'
_cell_length_a 7.3537
_cell_length_b 7.3537
_cell_length_c 7.3537
_cell_angle_alpha 90.00
_cell_angle_beta 90.00
_cell_angle_gamma 90.00
loop_
_atom_site_label
_atom_site_fract_x
_atom_site_fract_y
_atom_site_fract_z
Tl1 0.2500 0.2500 0.2500
Sb1 0.0000 0.0000 0.0000
Au1 0.0000 0.0000 0.5000
```



No. 2
DFT (SCAN) results for a crystal of Tl2SbAu relaxed with PBEsol.

Results
crystal system: monoclinic

```
data_Tl2SbAu
_space_group_name_H-M_alt 'P 1 m 1'
_space_group_IT_number 6
_cell_length_a 3.2663
_cell_length_b 4.3151
_cell_length_c 7.4404
_cell_angle_alpha 90.00
_cell_angle_beta 102.49
_cell_angle_gamma 90.00
loop_
_space_group_symop_operation_xyz
'x,y,z'
'x,-y,z'
loop_
_atom_site_label
_atom_site_fract_x
_atom_site_fract_y
_atom_site_fract_z
Tl1 0.0000 0.0000 0.0000
Tl2 0.3492 0.5000 0.7062
Sb1 0.7083 0.0000 0.4258
Au1 0.5963 0.5000 0.1945
```



Number 1: M_tot 0.00 μB per formula unit, formation energy without anion corrections 0.152 eV per atom. Number 2: M_tot 0.00 μB per formula unit, formation energy without anion corrections -0.016 eV per atom.